Record 1
A plane-wave DFT calculation with PBE was carried out for CaSn2Hg3 after structural relaxation.

a b c (Å): 6.3254 6.3254 5.2099
angles (deg): 90.00 90.00 129.27
Last column: nearest neighbours and their distance in Å.
Fractional coordinates of all 6 atoms:
Ca (0.0000, 0.0000, 0.0000)  4 Hg 3.20, 6 Sn 3.47-3.55
Sn (0.3110, 0.6890, 0.0000)  2 Sn 3.05, 4 Hg 3.11-3.38
Sn (0.6890, 0.3110, 0.0000)  2 Sn 3.05, 4 Hg 3.11-3.38
Hg (0.1620, 0.8380, 0.5000)  2 Sn 3.11, 2 Ca 3.20, 4 Hg 3.28-3.38
Hg (0.5000, 0.5000, 0.5000)  4 Hg 3.28, 4 Sn 3.38
Hg (0.8380, 0.1620, 0.5000)  2 Sn 3.11, 2 Ca 3.20, 4 Hg 3.28-3.38

DFT formation energy (eV/atom): -0.211
Space group: Cmmm (65)



Record 2
A plane-wave DFT calculation with PBE was carried out for SiSeSCl2 after structural relaxation.

a b c (Å): 4.5715 4.5715 5.0053
angles (deg): 90.00 90.00 90.00
Last column: nearest neighbours and their distance in Å.
Fractional coordinates of all 5 atoms:
Si (0.0000, 0.0000, 0.0000)  4 Cl 2.29, 2 S 2.50
Se (0.5000, 0.5000, 0.5000)  4 S 3.23, 8 Cl 3.39
S (0.0000, 0.0000, 0.5000)  2 Si 2.50
Cl (0.0000, 0.5000, 0.0000)  2 Si 2.29
Cl (0.5000, 0.0000, 0.0000)  2 Si 2.29

Space group: P4/mmm (123)
Formation energy without anion corrections (eV per atom): 0.21



Record 3
A plane-wave DFT calculation with PBE was carried out for Cu2Ag3 after structural relaxation.

a b c (Å): 11.1372 11.1372 11.1372
angles (deg): 14.86 14.86 14.86
Last column: nearest neighbours and their distance in Å.
Fractional coordinates of all 5 atoms:
Cu (0.1016, 0.1016, 0.1016)  6 Ag 2.71-2.72, 6 Cu 2.88
Cu (0.8984, 0.8984, 0.8984)  6 Ag 2.71-2.72, 6 Cu 2.88
Ag (0.2965, 0.2965, 0.2965)  3 Cu 2.71, 9 Ag 2.88-2.95
Ag (0.5000, 0.5000, 0.5000)  6 Cu 2.72, 6 Ag 2.88
Ag (0.7035, 0.7035, 0.7035)  3 Cu 2.71, 9 Ag 2.88-2.95

DFT formation energy (eV/atom): 0.144
Space group: R-3m (166)



Record 4
A plane-wave DFT calculation with PBE was carried out for LaMg2Mo after structural relaxation.

a b c (Å): 4.2553 4.2553 5.0514
angles (deg): 90.00 90.00 90.00
Last column: nearest neighbours and their distance in Å.
Fractional coordinates of all 4 atoms:
La (0.0000, 0.0000, 0.0000)  4 Mo 3.01, 8 Mg 3.30
Mg (0.0000, 0.5000, 0.5000)  4 Mg 3.01, 4 La 3.30, 4 Mo 3.30
Mg (0.5000, 0.0000, 0.5000)  4 Mg 3.01, 4 La 3.30, 4 Mo 3.30
Mo (0.5000, 0.5000, 0.0000)  4 La 3.01, 8 Mg 3.30

DFT formation energy (eV/atom): 0.423
Space group: P4/mmm (123)



Number 1: ΔE to the lowest computed polymorph 4 meV/atom, magnetic moment 0.00 μB/cell. Number 2: ΔE to the lowest computed polymorph 0 meV/atom, magnetic moment 0.82 μB/cell. Number 3: ΔE to the lowest computed polymorph 0 meV/atom, magnetic moment 0.00 μB/cell. Number 4: ΔE to the lowest computed polymorph 126 meV/atom, magnetic moment 0.68 μB/cell.